# 1
{
  "formula": "Pm4SmHo",
  "functional": "PBE",
  "state": "optimized geometry",
  "cell": [[5.5684, -3.0102, 0.0000], [5.5684, 3.0102, 0.0000], [-0.0205, 0.0000, 6.0365]],
  "species": ["Pm", "Pm", "Pm", "Pm", "Sm", "Ho"],
  "fractional_positions": [[0.1636, 0.1636, 0.0190], [0.3355, 0.3355, 0.5177], [0.6645, 0.6645, 0.4823], [0.8364, 0.8364, 0.9810], [0.5000, 0.5000, 0.0000], [0.0000, 0.0000, 0.5000]],
  "polymorph_energy_ev_per_atom": 0.047,
  "total_magnetization_mub_per_fu": 0.00
}

***

# 2
{
  "formula": "Pm3Sm2Ho2",
  "functional": "PBE",
  "state": "optimized geometry",
  "cell": [[7.8692, -1.8028, 0.0000], [7.8692, 1.8028, 0.0000], [-3.2991, 0.0000, 8.1926]],
  "species": ["Pm", "Pm", "Pm", "Sm", "Sm", "Ho", "Ho"],
  "fractional_positions": [[0.0000, 0.0000, 0.0000], [0.1415, 0.1415, 0.4284], [0.8585, 0.8585, 0.5716], [0.2848, 0.2848, 0.8563], [0.7152, 0.7152, 0.1437], [0.4285, 0.4285, 0.2858], [0.5715, 0.5715, 0.7142]],
  "polymorph_energy_ev_per_atom": 0.000,
  "total_magnetization_mub_per_fu": 0.00
}

***

# 3
{
  "formula": "Pm10SmHo4",
  "functional": "PBE",
  "state": "optimized geometry",
  "cell": [[-4.9785, 4.9785, 5.4149], [4.9785, -4.9785, 5.4149], [4.9785, 4.9785, -5.4149]],
  "species": ["Pm", "Pm", "Pm", "Pm", "Pm", "Pm", "Pm", "Pm", "Pm", "Pm", "Sm", "Ho", "Ho", "Ho", "Ho"],
  "fractional_positions": [[0.0499, 0.3939, 0.1053], [0.0554, 0.9501, 0.3440], [0.2500, 0.7500, 0.5000], [0.2887, 0.9446, 0.8947], [0.3939, 0.2887, 0.3440], [0.6061, 0.7113, 0.6560], [0.7113, 0.0554, 0.1053], [0.7500, 0.2500, 0.5000], [0.9446, 0.0499, 0.6560], [0.9501, 0.6061, 0.8947], [0.0000, 0.0000, 0.0000], [0.2216, 0.4431, 0.6648], [0.4431, 0.7784, 0.2215], [0.5569, 0.2216, 0.7785], [0.7784, 0.5569, 0.3352]],
  "total_magnetization_mub_per_fu": 0.00
}

***

# 4
{
  "formula": "Pm2Sm6Ho5",
  "functional": "PBE",
  "state": "optimized geometry",
  "cell": [[11.7647, 0.0000, 0.0000], [0.0000, 20.3921, 0.0000], [0.0000, 0.0000, 3.6225]],
  "species": ["Pm", "Pm", "Pm", "Pm", "Sm", "Sm", "Sm", "Sm", "Sm", "Sm", "Sm", "Sm", "Sm", "Sm", "Sm", "Sm", "Ho", "Ho", "Ho", "Ho", "Ho", "Ho", "Ho", "Ho", "Ho", "Ho"],
  "fractional_positions": [[0.1671, 0.2143, 0.0000], [0.3329, 0.7143, 0.0000], [0.6671, 0.2857, 0.0000], [0.8329, 0.7857, 0.0000], [0.0591, 0.9219, 0.0000], [0.0802, 0.6342, 0.0000], [0.1764, 0.3712, 0.5000], [0.3236, 0.8712, 0.5000], [0.4198, 0.1342, 0.0000], [0.4409, 0.4219, 0.0000], [0.5591, 0.5781, 0.0000], [0.5802, 0.8658, 0.0000], [0.6764, 0.1288, 0.5000], [0.8236, 0.6288, 0.5000], [0.9198, 0.3658, 0.0000], [0.9409, 0.0781, 0.0000], [0.0000, 0.5000, 0.5000], [0.0930, 0.7767, 0.5000], [0.1991, 0.0541, 0.5000], [0.3009, 0.5541, 0.5000], [0.4070, 0.2767, 0.5000], [0.5000, 0.0000, 0.5000], [0.5930, 0.7233, 0.5000], [0.6991, 0.4459, 0.5000], [0.8009, 0.9459, 0.5000], [0.9070, 0.2233, 0.5000]],
  "total_magnetization_mub_per_fu": 0.00
}

***

One value per record, in order, for N(E_F): 12.0; 9.4; 24.9; 15.4 states/eV/f.u..
One value per record, in order, for E_form: 0.110; 0.017; 0.437; 0.100 eV per atom.
One value per record, in order, for electronic total energy: -4.606; -4.676; -4.266; -4.570 eV per atom.